Density functional theory data (PBE) for crystalline KNaZnSn at its relaxed geometry.

Cell lengths 5.2929, 5.2929, 5.2929 Å; angles 60.00, 60.00, 60.00 degrees
Element x y z (fractional)
1 K 0.0000 0.0000 0.0000
2 Sn 0.5000 0.5000 0.5000
3 Zn 0.2500 0.2500 0.2500
4 Na 0.7500 0.7500 0.7500

Output
uncorrected energy = -1.965 eV per atom
space-group type = F-43m, No. 216
magnetic moment = 0.000 Bohr magnetons per cell